1.
The following is a PBE calculation of a geometry-optimized DyTh2Cu structure, from the Alexandria database.

Values from the calculation:
Space group   No. 123
E above lowest polymorph   0.000 eV per atom
D(E_F)   4.3 states/eV per cell
Magnetization   0.0 μB/f.u.
DFT formation energy   15 meV per atom

Cell lengths 3.5619, 3.5619, 8.7225 Å; angles 90.00, 90.00, 90.00 degrees
With the nearest neighbours (Å) after each atom.
Fractional coordinates of all 4 atoms:
1 Cu 0.5000 0.5000 0.0000  8 Th 3.10
2 Th 0.0000 0.0000 0.7934  4 Cu 3.10
3 Th 0.0000 0.0000 0.2066  4 Cu 3.10
4 Dy 0.5000 0.5000 0.5000  4 Dy 3.56, 8 Th 3.59

2.
The following is a PBE calculation of a geometry-optimized DyThCu2 structure, from the Alexandria database.

Values from the calculation:
Space group   No. 123
E above lowest polymorph   0.025 eV per atom
D(E_F)   3.7 states/eV per cell
Magnetization   0.0 μB/f.u.
DFT formation energy   -145 meV per atom

Cell lengths 3.4695, 3.4695, 7.2479 Å; angles 90.00, 90.00, 90.00 degrees
With the nearest neighbours (Å) after each atom.
Fractional coordinates of all 4 atoms:
1 Cu 0.0000 0.0000 0.7318  4 Dy 2.97, 4 Th 3.13
2 Cu 0.0000 0.0000 0.2682  4 Dy 2.97, 4 Th 3.13
3 Th 0.5000 0.5000 0.0000  8 Cu 3.13, 4 Th 3.47
4 Dy 0.5000 0.5000 0.5000  8 Cu 2.97

3.
The following is a PBE calculation of a geometry-optimized Dy5ThCu4 structure, from the Alexandria database.

Values from the calculation:
Space group   No. 123
D(E_F)   7.8 states/eV per cell
Magnetization   0.0 μB/f.u.
DFT formation energy   -195 meV per atom

Cell lengths 3.4686, 3.4686, 19.0702 Å; angles 90.00, 90.00, 90.00 degrees
With the nearest neighbours (Å) after each atom.
Fractional coordinates of all 10 atoms:
1 Dy 0.5000 0.5000 0.1346  4 Cu 3.01
2 Dy 0.5000 0.5000 0.3167  8 Cu 3.00-3.01
3 Dy 0.5000 0.5000 0.5000  8 Cu 3.01
4 Dy 0.5000 0.5000 0.6833  8 Cu 3.00-3.01
5 Dy 0.5000 0.5000 0.8654  4 Cu 3.01
6 Th 0.0000 0.0000 0.0000  4 Th 3.47, 8 Dy 3.55
7 Cu 0.0000 0.0000 0.2261  8 Dy 3.00-3.01
8 Cu 0.0000 0.0000 0.4085  8 Dy 3.01
9 Cu 0.0000 0.0000 0.5915  8 Dy 3.01
10 Cu 0.0000 0.0000 0.7739  8 Dy 3.00-3.01

4.
The following is a PBE calculation of a geometry-optimized Dy2ThCu9 structure, from the Alexandria database.

Values from the calculation:
Space group   No. 194
D(E_F)   17.1 states/eV per cell
Magnetization   0.0 μB/f.u.
DFT formation energy   -172 meV per atom

Cell lengths 5.2205, 5.2205, 16.5856 Å; angles 90.00, 90.00, 120.00 degrees
With the nearest neighbours (Å) after each atom.
Fractional coordinates of all 24 atoms:
1 Dy 0.3333 0.6667 0.5364  12 Cu 3.01-3.09, 3 Dy 3.25
2 Dy 0.6667 0.3333 0.0364  12 Cu 3.01-3.09, 3 Dy 3.25
3 Dy 0.6667 0.3333 0.4636  12 Cu 3.01-3.09, 3 Dy 3.25
4 Dy 0.3333 0.6667 0.9636  12 Cu 3.01-3.09, 3 Dy 3.25
5 Th 0.3333 0.6667 0.7500  18 Cu 3.01-3.32
6 Th 0.6667 0.3333 0.2500  18 Cu 3.01-3.32
7 Cu 0.0000 0.0000 0.0000  6 Cu 2.58
8 Cu 0.0000 0.0000 0.5000  6 Cu 2.58
9 Cu 0.0000 0.0000 0.2500  6 Cu 2.54
10 Cu 0.0000 0.0000 0.7500  6 Cu 2.54
11 Cu 0.3333 0.6667 0.2500  6 Cu 2.54
12 Cu 0.6667 0.3333 0.7500  6 Cu 2.54
13 Cu 0.1668 0.3336 0.1265  7 Cu 2.54-2.61
14 Cu 0.6664 0.8332 0.1265  7 Cu 2.54-2.61
15 Cu 0.1668 0.8332 0.1265  7 Cu 2.54-2.61
16 Cu 0.8332 0.6664 0.6265  7 Cu 2.54-2.61
17 Cu 0.3336 0.1668 0.6265  7 Cu 2.54-2.61
18 Cu 0.8332 0.1668 0.6265  7 Cu 2.54-2.61
19 Cu 0.3336 0.1668 0.8735  7 Cu 2.54-2.61
20 Cu 0.8332 0.6664 0.8735  7 Cu 2.54-2.61
21 Cu 0.8332 0.1668 0.8735  7 Cu 2.54-2.61
22 Cu 0.6664 0.8332 0.3735  7 Cu 2.54-2.61
23 Cu 0.1668 0.3336 0.3735  7 Cu 2.54-2.61
24 Cu 0.1668 0.8332 0.3735  7 Cu 2.54-2.61

5.
The following is a PBE calculation of a geometry-optimized DyThCu2 structure, from the Alexandria database.

Values from the calculation:
Space group   No. 225
E above lowest polymorph   0.042 eV per atom
D(E_F)   4.7 states/eV per cell
Magnetization   0.0 μB/f.u.
DFT formation energy   -128 meV per atom

Cell lengths 4.9961, 4.9961, 4.9961 Å; angles 60.00, 60.00, 60.00 degrees
With the nearest neighbours (Å) after each atom.
Fractional coordinates of all 4 atoms:
1 Cu 0.2500 0.2500 0.2500  4 Th 3.06, 4 Dy 3.06
2 Cu 0.7500 0.7500 0.7500  4 Dy 3.06, 4 Th 3.06
3 Th 0.5000 0.5000 0.5000  8 Cu 3.06
4 Dy 0.0000 0.0000 0.0000  8 Cu 3.06

6.
The following is a PBE calculation of a geometry-optimized DyTiZnCu structure, from the Alexandria database.

Values from the calculation:
Space group   No. 216
D(E_F)   3.9 states/eV per cell
Magnetization   1.5 μB/f.u.
DFT formation energy   -89 meV per atom

Cell lengths 4.7162, 4.7162, 4.7162 Å; angles 60.00, 60.00, 60.00 degrees
With the nearest neighbours (Å) after each atom.
Fractional coordinates of all 4 atoms:
1 Zn 0.7500 0.7500 0.7500  4 Dy 2.89, 4 Ti 2.89
2 Ti 0.5000 0.5000 0.5000  4 Zn 2.89, 4 Cu 2.89
3 Cu 0.2500 0.2500 0.2500  4 Dy 2.89, 4 Ti 2.89
4 Dy 0.0000 0.0000 0.0000  4 Zn 2.89, 4 Cu 2.89